# CoSnBiO5

CoSnBiO5 after structural relaxation (PBE+U, Alexandria).

Properties
* spin magnetization: 8.03 μB/cell
* space-group type: C2/c
* calculated total energy: -5.959 eV per atom

Unit cell a=5.833 b=5.833 c=7.499 alpha=103.74 beta=103.74 gamma=108.38
Site moments in Bohr magnetons follow the coordinates.
Element x y z (fractional)
Co1 0.326 0.674 0.750  3.00
Bi1 0.675 0.325 0.750  0.03
O1 0.313 0.897 0.604  0.15
O2 0.915 0.085 0.750  0.04
O3 0.277 0.367 0.574  0.22
O4 0.633 0.723 0.926  0.22
O5 0.723 0.633 0.426  0.22
O6 0.103 0.687 0.896  0.15
Sn1 0.000 0.000 0.500  0.02
O7 0.367 0.277 0.074  0.22
O8 0.687 0.103 0.396  0.15
O9 0.085 0.915 0.250  0.04
O10 0.897 0.313 0.104  0.15
Sn2 0.000 0.000 0.000  0.02
Bi2 0.325 0.675 0.250  0.03
Co2 0.674 0.326 0.250  3.00